DFT (PBE) results for crystalline PmNdCdIn at its relaxed geometry.

a b c (Å): 5.4585 5.4585 5.4585
angles (deg): 60.00 60.00 60.00
Fractional positions:
Cd: 0.7500 0.7500 0.7500
In: 0.2500 0.2500 0.2500
Nd: 0.0000 0.0000 0.0000
Pm: 0.5000 0.5000 0.5000

- total DFT energy (no corrections) (Ha/atom) = -0.1363
- spin magnetization (μB/f.u.) = 0.001
- formation energy (meV/atom) = -415.6
- space group = F-43m, No. 216
- density of states at the Fermi level (states/eV/atom) = 1.286

DFT (PBE) results for crystalline PmNd2Cd2In2 at its relaxed geometry.

a b c (Å): 4.9938 4.9938 9.6778
angles (deg): 75.05 75.05 60.00
Fractional positions:
Pm: 0.0000 0.0000 0.0000
Nd: 0.1284 0.1284 0.6148
Nd: 0.8716 0.8716 0.3852
Cd: 0.6025 0.6025 0.1926
Cd: 0.3975 0.3975 0.8074
In: 0.7376 0.7376 0.7873
In: 0.2624 0.2624 0.2127

- total DFT energy (no corrections) (Ha/atom) = -0.1243
- spin magnetization (μB/f.u.) = 0.000
- formation energy (meV/atom) = -296.8
- space group = R-3m, No. 166
- density of states at the Fermi level (states/eV/atom) = 0.616

DFT (PBE) results for crystalline PrNd2Cd2In2 at its relaxed geometry.

a b c (Å): 5.0091 5.0091 9.7263
angles (deg): 75.08 75.08 60.00
Fractional positions:
Pr: 0.0000 0.0000 0.0000
Nd: 0.1290 0.1290 0.6130
Nd: 0.8710 0.8710 0.3870
Cd: 0.5988 0.5988 0.2035
Cd: 0.4012 0.4012 0.7965
In: 0.7382 0.7382 0.7853
In: 0.2618 0.2618 0.2147

- total DFT energy (no corrections) (Ha/atom) = -0.1246
- spin magnetization (μB/f.u.) = 0.000
- formation energy (meV/atom) = -302.3
- space group = R-3m, No. 166
- density of states at the Fermi level (states/eV/atom) = 0.601

DFT (PBE) results for crystalline PrNdCdIn at its relaxed geometry.

a b c (Å): 5.4966 5.4966 5.4966
angles (deg): 60.00 60.00 60.00
Fractional positions:
Pr: 0.2500 0.2500 0.2500
Cd: 0.0000 0.0000 0.0000
Nd: 0.7500 0.7500 0.7500
In: 0.5000 0.5000 0.5000

- total DFT energy (no corrections) (Ha/atom) = -0.1364
- spin magnetization (μB/f.u.) = 0.002
- formation energy (meV/atom) = -412.6
- space group = F-43m, No. 216
- density of states at the Fermi level (states/eV/atom) = 1.352

DFT (PBE) results for crystalline Nd2CdIn2Pt5 at its relaxed geometry.

a b c (Å): 3.7225 10.6149 10.6149
angles (deg): 90.00 90.00 90.00
Fractional positions:
Nd: 0.0000 0.6693 0.1693
Nd: 0.0000 0.3307 0.8307
Nd: 0.0000 0.1693 0.3307
Nd: 0.0000 0.8307 0.6693
Cd: 0.0000 0.0000 0.0000
Cd: 0.0000 0.5000 0.5000
In: 0.0000 0.1310 0.6310
In: 0.0000 0.8690 0.3690
In: 0.0000 0.6310 0.8690
In: 0.0000 0.3690 0.1310
Pt: 0.5000 0.2019 0.0333
Pt: 0.5000 0.7981 0.9667
Pt: 0.5000 0.0333 0.7981
Pt: 0.5000 0.7019 0.4667
Pt: 0.5000 0.9667 0.2019
Pt: 0.5000 0.2981 0.5333
Pt: 0.5000 0.5333 0.7019
Pt: 0.5000 0.4667 0.2981
Pt: 0.5000 0.5000 0.0000
Pt: 0.5000 0.0000 0.5000

- total DFT energy (no corrections) (Ha/atom) = -0.1903
- spin magnetization (μB/f.u.) = 0.000
- formation energy (meV/atom) = -566.4
- space group = P4/mbm, No. 127
- density of states at the Fermi level (states/eV/atom) = 0.553

DFT (PBE) results for crystalline NdCdInPt3 at its relaxed geometry.

a b c (Å): 6.6560 5.8910 7.2397
angles (deg): 114.01 90.00 90.00
Fractional positions:
Nd: 0.7500 0.3499 0.6999
Nd: 0.2500 0.6501 0.3001
Cd: 0.2500 0.8828 0.7656
Cd: 0.7500 0.1172 0.2344
In: 0.2500 0.3613 0.7227
In: 0.7500 0.6387 0.2773
Pt: 0.2500 0.1562 0.3124
Pt: 0.0000 0.2542 0.0000
Pt: 0.5000 0.7458 0.0000
Pt: 0.5000 0.2542 0.0000
Pt: 0.0000 0.7458 0.0000
Pt: 0.7500 0.8438 0.6876

- total DFT energy (no corrections) (Ha/atom) = -0.1788
- spin magnetization (μB/f.u.) = 0.000
- formation energy (meV/atom) = -441.5
- space group = Cmcm, No. 63
- density of states at the Fermi level (states/eV/atom) = 0.306